Record 1
Here is an optimized crystal structure of CuSiOs from Alexandria. Energies are from GGA-PBE.

Cell: 2.940 4.673 12.023 Å, 90.00 90.00 90.00°
Positions (direct):
1 Cu 0.000 0.000 0.000
2 Cu 0.000 0.500 0.500
3 Cu 0.500 0.000 0.500
4 Cu 0.500 0.500 0.000
5 Si 0.000 0.000 0.341
6 Si 0.000 0.500 0.841
7 Si 0.500 0.000 0.841
8 Si 0.500 0.500 0.341
9 Os 0.000 0.000 0.687
10 Os 0.000 0.500 0.187
11 Os 0.500 0.000 0.187
12 Os 0.500 0.500 0.687

Properties
Energy relative to the lowest polymorph listed for this composition, eV per formula unit: 0.96
Formation energy without anion corrections, eV/f.u.: 0.95
Space-group type: Fmm2 (42)
Electronic total energy, eV per formula unit: -19.8



Record 2
Here is an optimized crystal structure of MgHg6Pb12 from Alexandria. Energies are from GGA-PBE.

Cell: 8.437 8.437 8.437 Å, 76.51 76.51 76.51°
Positions (direct):
1 Mg 0.000 0.000 0.000
2 Hg 0.145 0.779 0.779
3 Hg 0.221 0.221 0.855
4 Hg 0.221 0.855 0.221
5 Hg 0.779 0.145 0.779
6 Hg 0.779 0.779 0.145
7 Hg 0.855 0.221 0.221
8 Pb 0.138 0.138 0.481
9 Pb 0.138 0.481 0.138
10 Pb 0.194 0.524 0.524
11 Pb 0.476 0.476 0.806
12 Pb 0.476 0.806 0.476
13 Pb 0.481 0.138 0.138
14 Pb 0.519 0.862 0.862
15 Pb 0.524 0.194 0.524
16 Pb 0.524 0.524 0.194
17 Pb 0.806 0.476 0.476
18 Pb 0.862 0.519 0.862
19 Pb 0.862 0.862 0.519

Properties
Space-group type: R-3m (166)
Electronic total energy, eV per formula unit: -47.6



Record 3
Here is an optimized crystal structure of Cs3MgCl from Alexandria. Energies are from GGA-PBE.

Cell: 6.829 6.829 6.829 Å, 90.00 90.00 90.00°
Positions (direct):
1 Cs 0.000 0.000 0.500
2 Cs 0.000 0.500 0.000
3 Cs 0.500 0.000 0.000
4 Mg 0.500 0.500 0.500
5 Cl 0.000 0.000 0.000

Properties
Energy relative to the lowest polymorph listed for this composition, eV per formula unit: 0.00
Formation energy without anion corrections, eV/f.u.: -2.98
Space-group type: Pm-3m (221)
Electronic total energy, eV per formula unit: -9.0